1.
Crystalline Tb4Pm3Sn4 at its relaxed geometry. Source: Alexandria via LeMat-Bulk, functional PBE.

VASP energy, eV/atom: -4.833
Fermi-level density of states, states/eV/f.u.: 13.0
Total magnetic moment, μB per cell: 0.0

The structure in POSCAR format:
```
Tb4Pm3Sn4
1.0
-3.6295 3.2518 -1.4106
-1.4145 -0.0212 3.5909
12.6684 11.4767 2.9838
Tb Sn Pm
4 4 3
Direct
0.9061 0.4061 0.8122 Tb
0.7374 0.7374 0.4748 Tb
0.0939 0.5939 0.1878 Tb
0.2626 0.2626 0.5252 Tb
0.1839 0.6839 0.3677 Sn
0.4546 0.4546 0.9092 Sn
0.5454 0.5454 0.0908 Sn
0.8161 0.3161 0.6323 Sn
0.3531 0.8531 0.7061 Pm
0.6469 0.1469 0.2939 Pm
0.0000 0.0000 0.0000 Pm
```

=====

2.
Crystalline TbPm2Sn5 at its relaxed geometry. Source: Alexandria via LeMat-Bulk, functional PBE.

VASP energy, eV/atom: -4.861
Fermi-level density of states, states/eV/f.u.: 3.1
Total magnetic moment, μB per cell: 0.0

The structure in POSCAR format:
```
TbPm2Sn5
1.0
7.2850 0.0022 -0.0001
0.0024 7.2850 -0.0002
-3.6434 -3.6436 4.1017
Sn Tb Pm
5 1 2
Direct
0.6953 0.2593 0.9546 Sn
0.2594 0.2594 0.9546 Sn
0.7493 0.7493 0.4987 Sn
0.6953 0.6953 0.9547 Sn
0.2594 0.6953 0.9547 Sn
0.1503 0.1503 0.3006 Tb
0.7340 0.2341 0.4681 Pm
0.2340 0.7340 0.4681 Pm
```